VASP calculation (PBE-GGA) on Y3Hg2Au after structural relaxation.

Output
Energy ... -4.51 eV/atom
DOS(E_F) ... 4.437 states/eV per cell
Symmetry ... P4/mmm
DFT formation energy ... -628 meV per atom

extended XYZ file:
```
6
Lattice="3.6818 0.0000 0.0000 0.0000 3.6818 0.0000 0.0000 0.0000 11.1023" Properties=species:S:1:pos:R:3 pbc="T T T"
Hg 1.8409 1.8409 9.2478
Au 1.8409 1.8409 5.5511
Y 0.0000 0.0000 3.8005
Y 0.0000 0.0000 0.0000
Hg 1.8409 1.8409 1.8545
Y 0.0000 0.0000 7.3018
```

***

VASP calculation (PBE-GGA) on Ca2VSe4 after structural relaxation.

Output
Energy ... -5.01 eV/atom
DOS(E_F) ... 3.343 states/eV per cell
Symmetry ... I4/mmm

extended XYZ file:
```
7
Lattice="-3.6837 -0.2898 -2.9617 -1.7059 -3.6562 2.4794 -6.7176 2.9691 4.2787" Properties=species:S:1:pos:R:3 pbc="T T T"
Ca -3.8811 -0.5156 1.0917
Se -0.8530 -1.8281 1.2397
Ca -8.2261 -0.4612 2.7047
V 0.0000 0.0000 0.0000
Se -6.7542 -2.2695 1.0509
Se -5.3530 1.2927 2.7455
Se -1.8418 -0.1449 -1.4809
```

***

VASP calculation (PBE-GGA) on La3CuMo after structural relaxation.

Output
Energy ... -5.52 eV/atom
DOS(E_F) ... 5.820 states/eV per cell
Symmetry ... Pm-3m
Polymorph energy (0 for the lowest one) ... 0.000 eV per atom
DFT formation energy ... 424 meV per atom

extended XYZ file:
```
5
Lattice="5.4848 0.0000 0.0000 0.0000 5.4848 0.0000 0.0000 0.0000 5.4848" Properties=species:S:1:pos:R:3 pbc="T T T"
La 2.7424 0.0000 0.0000
Cu 2.7424 2.7424 2.7424
Mo 0.0000 0.0000 0.0000
La 0.0000 0.0000 2.7424
La 0.0000 2.7424 0.0000
```

***

VASP calculation (PBE-GGA) on K3IrW after structural relaxation.

Output
Energy ... -3.08 eV/atom
DOS(E_F) ... 11.629 states/eV per cell
Symmetry ... Pm-3m
Polymorph energy (0 for the lowest one) ... 0.000 eV per atom
DFT formation energy ... 1946 meV per atom

extended XYZ file:
```
5
Lattice="-5.7255 -2.0156 -0.3046 0.5449 -2.3884 5.5619 -1.9643 5.2125 2.4308" Properties=species:S:1:pos:R:3 pbc="T T T"
W -3.5724 0.4042 3.8441
K 0.2724 -1.1942 2.7810
Ir 0.0000 0.0000 0.0000
K -2.8628 -1.0078 -0.1523
K -0.9821 2.6062 1.2154
```

***

VASP calculation (PBE-GGA) on KBi2W after structural relaxation.

Output
Energy ... -4.74 eV/atom
DOS(E_F) ... 2.637 states/eV per cell
Symmetry ... I-42d
Polymorph energy (0 for the lowest one) ... 0.000 eV per atom
DFT formation energy ... 714 meV per atom

extended XYZ file:
```
8
Lattice="-0.0236 7.2004 2.3060 -2.1863 -2.2140 6.8907 5.0983 1.9401 6.3889" Properties=species:S:1:pos:R:3 pbc="T T T"
K 0.9035 1.1096 8.9390
Bi 3.2681 3.6015 7.3796
W 0.0000 0.0000 0.0000
W 1.9849 5.8168 6.6466
K -1.1049 2.4932 4.5984
Bi 1.6169 5.5416 13.6996
Bi 0.9836 5.6080 4.1879
Bi -0.0919 -0.8982 5.9041
```

***

VASP calculation (PBE-GGA) on Tl4InGa after structural relaxation.

Output
Energy ... -2.48 eV/atom
DOS(E_F) ... 5.142 states/eV per cell
Symmetry ... C2/m
DFT formation energy ... 54 meV per atom

extended XYZ file:
```
12
Lattice="5.5919 -0.2045 0.0000 -0.3984 11.1621 0.0000 0.0000 0.0000 5.5193" Properties=species:S:1:pos:R:3 pbc="T T T"
In 2.5968 5.4788 0.0000
Tl 2.6655 3.6043 2.7596
Tl 2.7037 1.5943 5.5192
In -0.1992 5.5811 2.7596
Tl 5.4996 1.4920 2.7597
Tl 5.3240 7.2511 5.5192
Tl -0.1305 3.7065 0.0001
Tl 2.4898 9.3634 0.0001
Tl 2.5280 7.3534 2.7597
Tl -0.3061 9.4656 2.7596
Ga 0.0000 0.0000 0.0000
Ga 2.7959 -0.1023 2.7596
```

***

Q: Among the records above, which one has the lowest DOS(E_F)?
A: KBi2W

***

Q: Which value of DOS(E_F) does entry 6 give?
A: 5.142 states/eV per cell